Entry 1:
A plane-wave DFT calculation with PBE-GGA was carried out for a relaxed structure of YTm2Se4.

CIF file:
```
data_YTm2Se4
_cell_length_a 8.077
_cell_length_b 8.146
_cell_length_c 11.270
_cell_angle_alpha 90.00
_cell_angle_beta 90.00
_cell_angle_gamma 90.00
_space_group_name_H-M_alt 'I m m a'
_space_group_IT_number 74
_space_group_name_Hall '-I 2b 2'
loop_
_atom_site_label
_atom_site_type_symbol
_atom_site_fract_x
_atom_site_fract_y
_atom_site_fract_z
_atom_site_occupancy
Y1 Y 0.000 0.000 0.000 1
Tm1 Tm 0.000 0.000 0.500 1
Tm2 Tm 0.250 0.250 0.250 1
Se1 Se 0.000 0.005 0.252 1
Se2 Se 0.246 0.250 0.505 1
```

The density of states at the Fermi level is 7.7 states/eV/cell. The final energy comes out at -42.41 eV/f.u. The value obtained for the uncorrected formation energy is -1866 meV/atom.

---

Entry 2:
A plane-wave DFT calculation with PBE-GGA was carried out for a relaxed structure of YTm3Se4.

CIF file:
```
data_YTm3Se4
_cell_length_a 8.170
_cell_length_b 11.413
_cell_length_c 3.982
_cell_angle_alpha 90.00
_cell_angle_beta 90.00
_cell_angle_gamma 90.00
_space_group_name_H-M_alt 'C m m m'
_space_group_IT_number 65
_space_group_name_Hall '-C 2 2'
loop_
_atom_site_label
_atom_site_type_symbol
_atom_site_fract_x
_atom_site_fract_y
_atom_site_fract_z
_atom_site_occupancy
Y1 Y 0.000 0.000 0.000 1
Tm1 Tm 0.000 0.500 0.000 1
Tm2 Tm 0.250 0.250 0.500 1
Se1 Se 0.000 0.252 0.000 1
Se2 Se 0.245 0.500 0.500 1
```

The density of states at the Fermi level is 9.1 states/eV/cell. The final energy comes out at -47.27 eV/f.u. The value obtained for the uncorrected formation energy is -1682 meV/atom.

---

Entry 3:
A plane-wave DFT calculation with PBE-GGA was carried out for a relaxed structure of YTm3Se4.

CIF file:
```
data_YTm3Se4
_cell_length_a 5.706
_cell_length_b 5.706
_cell_length_c 5.706
_cell_angle_alpha 90.00
_cell_angle_beta 90.00
_cell_angle_gamma 90.00
_space_group_name_H-M_alt 'P m -3 m'
_space_group_IT_number 221
_space_group_name_Hall '-P 4 2 3'
loop_
_atom_site_label
_atom_site_type_symbol
_atom_site_fract_x
_atom_site_fract_y
_atom_site_fract_z
_atom_site_occupancy
Y1 Y 0.000 0.000 0.000 1
Tm1 Tm 0.000 0.500 0.500 1
Se1 Se 0.000 0.000 0.500 1
Se2 Se 0.500 0.500 0.500 1
```

The density of states at the Fermi level is 5.2 states/eV/cell. The final energy comes out at -47.18 eV/f.u. The value obtained for the uncorrected formation energy is -1671 meV/atom.

---

Entry 4:
A plane-wave DFT calculation with PBE-GGA was carried out for a relaxed structure of YTm4Se5.

CIF file:
```
data_YTm4Se5
_cell_length_a 9.000
_cell_length_b 9.000
_cell_length_c 5.712
_cell_angle_alpha 90.00
_cell_angle_beta 90.00
_cell_angle_gamma 90.00
_space_group_name_H-M_alt 'I 4/m'
_space_group_IT_number 87
_space_group_name_Hall '-I 4'
loop_
_atom_site_label
_atom_site_type_symbol
_atom_site_fract_x
_atom_site_fract_y
_atom_site_fract_z
_atom_site_occupancy
Y1 Y 0.000 0.000 0.000 1
Tm1 Tm 0.103 0.297 0.500 1
Se1 Se 0.000 0.000 0.500 1
Se2 Se 0.099 0.305 0.000 1
```

The density of states at the Fermi level is 9.6 states/eV/cell. The final energy comes out at -58.55 eV/f.u. The value obtained for the uncorrected formation energy is -1678 meV/atom.

---

Entry 5:
A plane-wave DFT calculation with PBE-GGA was carried out for a relaxed structure of YTm2Se.

CIF file:
```
data_YTm2Se
_cell_length_a 3.7476
_cell_length_b 3.7476
_cell_length_c 27.9716
_cell_angle_alpha 90.00
_cell_angle_beta 90.00
_cell_angle_gamma 120.00
_space_group_name_H-M_alt 'R 3 m'
_space_group_IT_number 160
_space_group_name_Hall 'R 3 -2"'
loop_
_atom_site_label
_atom_site_type_symbol
_atom_site_fract_x
_atom_site_fract_y
_atom_site_fract_z
_atom_site_occupancy
Y1 Y 0.0000 0.0000 0.0000 1
Tm1 Tm 0.0000 0.0000 0.5667 1
Tm2 Tm 0.0000 0.0000 0.7679 1
Se1 Se 0.0000 0.0000 0.1670 1
```

The density of states at the Fermi level is 13.1 states/eV/cell. The final energy comes out at -22.09 eV/f.u. The value obtained for the uncorrected formation energy is -799 meV/atom.

---

Entry 6:
A plane-wave DFT calculation with PBE-GGA was carried out for a relaxed structure of YTm2Se2.

CIF file:
```
data_YTm2Se2
_cell_length_a 3.8829
_cell_length_b 3.8829
_cell_length_c 29.6606
_cell_angle_alpha 90.00
_cell_angle_beta 90.00
_cell_angle_gamma 120.00
_space_group_name_H-M_alt 'R -3 m'
_space_group_IT_number 166
_space_group_name_Hall '-R 3 2"'
loop_
_atom_site_label
_atom_site_type_symbol
_atom_site_fract_x
_atom_site_fract_y
_atom_site_fract_z
_atom_site_occupancy
Y1 Y 0.0000 0.0000 0.0000 1
Tm1 Tm 0.0000 0.0000 0.2121 1
Se1 Se 0.0000 0.0000 0.3935 1
```

The density of states at the Fermi level is 10.7 states/eV/cell. The final energy comes out at -29.18 eV/f.u. The value obtained for the uncorrected formation energy is -1361 meV/atom.

---

Entry 7:
A plane-wave DFT calculation with PBE-GGA was carried out for a relaxed structure of Y2TmSe.

CIF file:
```
data_Y2TmSe
_cell_length_a 3.606
_cell_length_b 3.606
_cell_length_c 8.398
_cell_angle_alpha 90.00
_cell_angle_beta 90.00
_cell_angle_gamma 90.00
_space_group_name_H-M_alt 'P 4/m m m'
_space_group_IT_number 123
_space_group_name_Hall '-P 4 2'
loop_
_atom_site_label
_atom_site_type_symbol
_atom_site_fract_x
_atom_site_fract_y
_atom_site_fract_z
_atom_site_occupancy
Y1 Y 0.000 0.000 0.211 1
Tm1 Tm 0.500 0.500 0.500 1
Se1 Se 0.500 0.500 0.000 1
```

The density of states at the Fermi level is 4.3 states/eV/cell. The final energy comes out at -23.64 eV/f.u. The value obtained for the uncorrected formation energy is -690 meV/atom.

---

Entry 8:
A plane-wave DFT calculation with PBE-GGA was carried out for a relaxed structure of Y4TmSe5.

CIF file:
```
data_Y4TmSe5
_cell_length_a 4.063
_cell_length_b 4.063
_cell_length_c 28.962
_cell_angle_alpha 90.00
_cell_angle_beta 90.00
_cell_angle_gamma 90.00
_space_group_name_H-M_alt 'I 4/m m m'
_space_group_IT_number 139
_space_group_name_Hall '-I 4 2'
loop_
_atom_site_label
_atom_site_type_symbol
_atom_site_fract_x
_atom_site_fract_y
_atom_site_fract_z
_atom_site_occupancy
Y1 Y 0.000 0.000 0.102 1
Y2 Y 0.000 0.000 0.305 1
Tm1 Tm 0.000 0.000 0.500 1
Se1 Se 0.000 0.000 0.000 1
Se2 Se 0.000 0.000 0.203 1
Se3 Se 0.000 0.000 0.403 1
```

The density of states at the Fermi level is 9.3 states/eV/cell. The final energy comes out at -65.18 eV/f.u. The value obtained for the uncorrected formation energy is -1743 meV/atom.